# 1
The following is a DFT calculation (SCAN) of Sc2H2Pd at its PBEsol-relaxed geometry.

Calculated values
- DFT total energy (eV per atom) = -14.473
- density of states at the Fermi level (states/eV per atom) = 0.470
- calculated volume (Å³/cell) = 60.7

abc: 3.2611 3.2611 6.1576
angles: 105.36 105.36 90.00
Element x y z (fractional)
Sc: 0.3547 0.3547 0.7094
Sc: 0.6453 0.6453 0.2906
Pd: 0.0000 0.0000 0.0000
H: 0.7500 0.2500 0.5000
H: 0.2500 0.7500 0.5000

=====

# 2
The following is a DFT calculation (SCAN) of Sr2Pt at its PBEsol-relaxed geometry.

Calculated values
- calculated formation energy (eV per atom) = -0.7218
- DFT total energy (eV per atom) = -38.970
- density of states at the Fermi level (states/eV per atom) = 0.292
- calculated volume (Å³/cell) = 111.6

abc: 4.3336 4.3336 6.8620
angles: 90.00 90.00 120.00
Element x y z (fractional)
Sr: 0.6667 0.3333 0.7681
Sr: 0.3333 0.6667 0.2319
Pt: 0.0000 0.0000 0.0000

=====

# 3
The following is a DFT calculation (SCAN) of LiCuNi2 at its PBEsol-relaxed geometry.

Calculated values
- calculated formation energy (eV per atom) = 0.1029
- DFT total energy (eV per atom) = -12.381
- density of states at the Fermi level (states/eV per atom) = 1.387
- calculated volume (Å³/cell) = 42.6

abc: 3.9211 3.9211 3.9211
angles: 60.00 60.00 60.00
Each line ends with the local moment (μB).
Element x y z (fractional)
Ni: 0.7500 0.7500 0.7500  0.55
Ni: 0.0000 0.0000 0.0000  0.55
Cu: 0.5000 0.5000 0.5000  0.01
Li: 0.2500 0.2500 0.2500  -0.01